No. 1
The following is a DFT calculation (meta-GGA SCAN) of a PBEsol-optimized structure of Sc2BeTl.

As for the density of states at the Fermi level: 2.45 states/eV/f.u.

The structure belongs to space group P4mm (No. 99); the cell edges are 3.5103, 3.5103 and 6.4218 Å and the angles 90.00°, 90.00° and 90.00°. The inequivalent atoms are Sc at (0.0000, 0.0000, 0.0000), Sc at (0.5000, 0.5000, 0.2742), Be at (0.5000, 0.5000, 0.7820) and Tl at (0.0000, 0.0000, 0.5492).

No. 2
The following is a DFT calculation (meta-GGA SCAN) of a PBEsol-optimized structure of YAlFe.

As for the density of states at the Fermi level: 1.68 states/eV/f.u.

The structure belongs to space group P-6m2 (No. 187); the cell edges are 4.1890, 4.1890 and 3.5962 Å and the angles 90.00°, 90.00° and 120.00°. The inequivalent atoms are Y at (0.0000, 0.0000, 0.0000), Al at (0.6667, 0.3333, 0.5000) and Fe at (0.3333, 0.6667, 0.5000).

No. 3
The following is a DFT calculation (meta-GGA SCAN) of a PBEsol-optimized structure of LiLaCoRh2.

As for the density of states at the Fermi level: 2.91 states/eV/f.u.

The structure belongs to space group P4/mmm (No. 123); the cell edges are 4.3324, 4.3324 and 4.1709 Å and the angles 90.00°, 90.00° and 90.00°. The inequivalent atoms are Li at (0.0000, 0.0000, 0.0000), La at (0.5000, 0.5000, 0.5000), Co at (0.0000, 0.0000, 0.5000) and Rh at (0.0000, 0.5000, 0.0000).

No. 4
The following is a DFT calculation (meta-GGA SCAN) of a PBEsol-optimized structure of CdAg8.

As for the density of states at the Fermi level: 2.55 states/eV/f.u.

The structure belongs to space group I4/mmm (No. 139); the cell edges are 8.6594, 8.6594 and 4.0375 Å and the angles 90.00°, 90.00° and 90.00°. The inequivalent atoms are Cd at (0.0000, 0.0000, 0.0000), Ag at (0.0000, 0.3348, 0.0000) and Ag at (0.1680, 0.1680, 0.5000).

No. 5
The following is a DFT calculation (meta-GGA SCAN) of a PBEsol-optimized structure of YCr2Co.

As for the density of states at the Fermi level: 3.84 states/eV/f.u.

The structure belongs to space group Fm-3m (No. 225); the cell edges are 6.0235, 6.0235 and 6.0235 Å and the angles 90.00°, 90.00° and 90.00°. The inequivalent atoms are Y at (0.0000, 0.0000, 0.0000), Cr at (0.2500, 0.2500, 0.2500) and Co at (0.0000, 0.0000, 0.5000).

No. 6
The following is a DFT calculation (meta-GGA SCAN) of a PBEsol-optimized structure of ZrIn2W.

As for the density of states at the Fermi level: 2.13 states/eV/f.u.

The structure belongs to space group F-43m (No. 216); the cell edges are 6.7851, 6.7851 and 6.7851 Å and the angles 90.00°, 90.00° and 90.00°. The inequivalent atoms are Zr at (0.0000, 0.0000, 0.0000), In at (0.0000, 0.0000, 0.5000), In at (0.2500, 0.2500, 0.2500) and W at (0.2500, 0.2500, 0.7500).

Table of final energy (eV/atom), in record order: -26.23; -18.02; -26.04; -31.28; -19.75; -41.38